Entry 1:
Compound: LaCo3W
Source: the Alexandria database
Functional: SCAN
Structure: single point on PBEsol structure

- Magnetic moment: 0.0 μB/cell
- Total energy: -160.5 eV per cell
- Energy of formation: 0.844 eV per atom
- N(E_F): 1.263 states/eV per atom

a = 4.4855 Å, b = 4.4855 Å, c = 4.4855 Å
α = 90.00°, β = 90.00°, γ = 90.00°
Space group Pm-3m (No. 221)
Symmetry-distinct sites (fractional):
La1 0.0000 0.0000 0.0000 x1
Co1 0.0000 0.5000 0.5000 x3
W1 0.5000 0.5000 0.5000 x1


Entry 2:
Compound: LaYCo2
Source: the Alexandria database
Functional: SCAN
Structure: single point on PBEsol structure

- Magnetic moment: 2.5 μB/cell
- Total energy: -210.2 eV per cell
- Polymorph energy (0 for the lowest one): 86 meV/atom
- Energy of formation: 0.110 eV per atom
- N(E_F): 0.926 states/eV per atom

a = 3.5713 Å, b = 3.9837 Å, c = 11.6875 Å
α = 90.00°, β = 90.00°, γ = 90.00°
Space group Imm2 (No. 44)
Symmetry-distinct sites (fractional):
La1 0.0000 0.0000 0.0000 x2
Y1 0.0000 0.5000 0.7684 x2
Co1 0.0000 0.0000 0.5822 x2
Co2 0.0000 0.5000 0.1980 x2


Entry 3:
Compound: LaYCo4
Source: the Alexandria database
Functional: SCAN
Structure: single point on PBEsol structure

- Magnetic moment: 14.1 μB/cell
- Total energy: -560.0 eV per cell
- Energy of formation: 0.028 eV per atom
- N(E_F): 1.022 states/eV per atom

a = 7.0665 Å, b = 7.0665 Å, c = 7.0665 Å
α = 90.00°, β = 90.00°, γ = 90.00°
Space group F-43m (No. 216)
Symmetry-distinct sites (fractional):
La1 0.0000 0.0000 0.0000 x4
Y1 0.2500 0.2500 0.7500 x4
Co1 0.1246 0.1246 0.3754 x16


Entry 4:
Compound: La2YCo2
Source: the Alexandria database
Functional: SCAN
Structure: single point on PBEsol structure

- Magnetic moment: 0.0 μB/cell
- Total energy: -293.4 eV per cell
- Energy of formation: 0.395 eV per atom
- N(E_F): 0.851 states/eV per atom

a = 4.8711 Å, b = 4.8711 Å, c = 10.0162 Å
α = 90.00°, β = 90.00°, γ = 90.00°
Space group I4/mmm (No. 139)
Symmetry-distinct sites (fractional):
La1 0.0000 0.0000 0.1693 x4
Y1 0.0000 0.0000 0.5000 x2
Co1 0.0000 0.5000 0.2500 x4


Entry 5:
Compound: LaYCo
Source: the Alexandria database
Functional: SCAN
Structure: single point on PBEsol structure

- Magnetic moment: 0.0 μB/cell
- Total energy: -88.1 eV per cell
- Energy of formation: 0.050 eV per atom
- N(E_F): 0.905 states/eV per atom

a = 3.8849 Å, b = 3.8849 Å, c = 6.1896 Å
α = 90.00°, β = 90.00°, γ = 120.00°
Space group P3m1 (No. 156)
Symmetry-distinct sites (fractional):
La1 0.0000 0.0000 0.0000 x1
Y1 0.3333 0.6667 0.4664 x1
Co1 0.6667 0.3333 0.2295 x1


Entry 6:
Compound: LaYCo2
Source: the Alexandria database
Functional: SCAN
Structure: single point on PBEsol structure

- Magnetic moment: 2.4 μB/cell
- Total energy: -210.9 eV per cell
- Polymorph energy (0 for the lowest one): 0 meV/atom
- Energy of formation: 0.024 eV per atom
- N(E_F): 0.975 states/eV per atom

a = 3.8534 Å, b = 3.9737 Å, c = 10.4610 Å
α = 90.00°, β = 90.00°, γ = 90.00°
Space group Amm2 (No. 38)
Symmetry-distinct sites (fractional):
La1 0.0000 0.0000 0.0000 x2
Y1 0.5000 0.0000 0.2863 x2
Co1 0.0000 0.0000 0.7112 x2
Co2 0.5000 0.0000 0.5915 x2


Copy entry 5 word for word.
Compound: LaYCo
Source: the Alexandria database
Functional: SCAN
Structure: single point on PBEsol structure

- Magnetic moment: 0.0 μB/cell
- Total energy: -88.1 eV per cell
- Energy of formation: 0.050 eV per atom
- N(E_F): 0.905 states/eV per atom

a = 3.8849 Å, b = 3.8849 Å, c = 6.1896 Å
α = 90.00°, β = 90.00°, γ = 120.00°
Space group P3m1 (No. 156)
Symmetry-distinct sites (fractional):
La1 0.0000 0.0000 0.0000 x1
Y1 0.3333 0.6667 0.4664 x1
Co1 0.6667 0.3333 0.2295 x1